{"formula": "LiDy2Se3", "functional": "PBE", "state": "optimized geometry", "e_tot_ev_per_atom": -5.323, "lattice_angstrom": [[-2.010, 2.858, 6.052], [2.010, -2.858, 6.052], [2.010, 2.858, -6.052]], "species": ["Li", "Dy", "Dy", "Se", "Se", "Se"], "fractional_positions": [[0.000, 0.000, 0.000], [0.334, 0.334, 0.000], [0.666, 0.666, 0.000], [0.161, 0.661, 0.500], [0.500, 0.000, 0.500], [0.839, 0.339, 0.500]]}